Record 1
VGa2Si2: relaxed, PBE-GGA.

Unit cell a=6.487 b=6.487 c=3.654 alpha=90.00 beta=90.00 gamma=90.00
Space group P4/mbm (No. 127)
One atom of each set of equivalent atoms:
V (0.000, 0.000, 0.000) [2 per cell]
Ga (0.174, 0.326, 0.500) [4 per cell]
Si (0.134, 0.634, 0.000) [4 per cell]

Summary:
D(E_F) ... 3.42 states/eV/f.u.
DFT total energy ... -5.0834 eV per atom

Record 2
VGaSi: relaxed, PBE-GGA.

Unit cell a=4.3465 b=4.3465 c=2.5320 alpha=90.00 beta=90.00 gamma=120.00
Space group P-6m2 (No. 187)
One atom of each set of equivalent atoms:
V (0.0000, 0.0000, 0.0000) [1 per cell]
Ga (0.3333, 0.6667, 0.5000) [1 per cell]
Si (0.6667, 0.3333, 0.5000) [1 per cell]

Summary:
D(E_F) ... 1.78 states/eV/f.u.
DFT total energy ... -5.8709 eV per atom